(1)
VASP calculation (PBEsol) on a relaxed structure of SbRh2.

The space group is Cm (No. 8) and the conventional cell measures 8.703, 3.974 and 5.533 Å, with angles of 90.00, 101.03 and 90.00 degrees. The inequivalent atoms are Sb at (0.000, 0.000, 0.000), Sb at (0.213, 0.500, 0.429), Rh at (0.032, 0.000, 0.512), Rh at (0.182, 0.500, 0.922), Rh at (0.356, 0.000, 0.714) and Rh at (0.360, 0.000, 0.215).

The value obtained for the formation energy from raw total energies is -277 meV/atom. Its total magnetization is 0.0 Bohr magnetons per cell. As for the raw total energy: -86.66 eV per cell.

=====

(2)
VASP calculation (PBEsol) on a relaxed structure of SbRh5.

The space group is Cmmm (No. 65) and the conventional cell measures 3.876, 11.495 and 3.871 Å, with angles of 90.00, 90.00 and 90.00 degrees. The inequivalent atoms are Sb at (0.000, 0.000, 0.000), Rh at (0.000, 0.171, 0.500), Rh at (0.000, 0.332, 0.000) and Rh at (0.000, 0.500, 0.500).

The value obtained for the formation energy from raw total energies is -129 meV/atom. Its total magnetization is 0.0 Bohr magnetons per cell. As for the raw total energy: -92.05 eV per cell.

=====

Question: What is the formula in the second record?
Answer: SbRh5